Entry 1:
The following is a PBEsol calculation of a relaxed structure of WCF2, from the Alexandria database.

Results
Its total moment is 0.000 μB/atom. The calculation puts the total energy at -6.134 eV/atom. As for the space group: R-3m.

Geometry as extended XYZ:
```
4
Lattice="2.666 0.000 0.000 1.333 2.309 0.000 1.333 0.770 8.964" Properties=species:S:1:pos:R:3 pbc="T T T"
C 0.000 0.000 0.000
F 1.333 0.770 6.008
F 4.000 2.309 2.956
W 2.666 1.539 4.482
```

---

Entry 2:
The following is a PBEsol calculation of a relaxed structure of La3Sc, from the Alexandria database.

Results
Its total moment is 0.000 μB/atom. For the energy of formation, the calculation gives 67.7 meV/atom. The calculation puts the total energy at -5.593 eV/atom. As for the space group: P-6m2.

Geometry as extended XYZ:
```
4
Lattice="3.509 0.000 0.000 -1.754 3.038 0.000 0.000 0.000 11.637" Properties=species:S:1:pos:R:3 pbc="T T T"
Sc 0.000 0.000 5.818
La 0.000 0.000 0.000
La 0.000 2.026 8.528
La 0.000 2.026 3.108
```

---

Entry 3:
The following is a PBEsol calculation of a relaxed structure of Zr2Mn12GaSn11, from the Alexandria database.

Results
Its total moment is 0.957 μB/atom. For the energy of formation, the calculation gives -114.1 meV/atom. The calculation puts the total energy at -7.249 eV/atom. As for the space group: P-6m2.

Geometry as extended XYZ:
```
26
Lattice="-1.266 -2.970 -4.187 -1.083 -1.716 4.882 -15.686 7.751 -0.756" Properties=species:S:1:pos:R:3 pbc="T T T"
Sn -10.433 5.155 -0.503
Sn -9.048 1.324 -1.542
Sn -5.018 -0.220 1.672
Sn -5.102 -0.626 -1.352
Sn -1.144 -2.134 1.859
Sn -8.987 1.741 1.481
Sn -5.252 2.595 -0.253
Sn -12.956 3.703 1.290
Sn -2.563 1.267 -0.124
Sn -12.993 3.273 -1.732
Sn -13.122 6.484 -0.633
Mn -7.063 0.567 0.066
Mn -10.971 2.499 -0.122
Mn -14.977 4.472 -0.354
Mn -11.512 1.642 2.314
Mn -15.595 3.023 -2.398
Mn -7.603 -0.289 2.503
Mn -6.431 2.049 2.156
Mn -3.676 -2.867 -1.823
Mn -14.449 5.310 -2.737
Mn -3.059 -1.417 0.221
Mn -2.530 -0.580 -2.162
Mn -10.340 3.981 1.968
Ga -1.205 -2.552 -1.164
Zr -7.843 3.875 -0.378
Zr 0.000 0.000 0.000
```

---

Entry 4:
The following is a PBEsol calculation of a relaxed structure of Cu2AgBiPbS4, from the Alexandria database.

Results
Its total moment is 0.000 μB/atom. The calculation puts the total energy at -4.486 eV/atom. As for the space group: Pnma.

Geometry as extended XYZ:
```
36
Lattice="-3.908 0.877 0.604 1.387 -2.305 12.328 3.493 14.024 2.229" Properties=species:S:1:pos:R:3 pbc="T T T"
S 0.525 4.018 4.355
S 1.310 12.726 10.362
S 2.443 10.129 7.885
S 1.512 11.463 13.509
S -0.540 1.134 1.652
S -0.350 7.924 6.599
S -1.910 4.641 1.273
S 0.225 11.623 4.942
S 1.851 4.720 11.916
S 2.882 7.956 13.887
S 0.447 8.579 10.805
S 0.748 0.973 10.218
S -0.879 7.876 3.245
S 1.322 4.673 8.561
S -0.337 -0.129 4.798
S -1.471 2.467 7.275
Pb 2.904 10.225 10.730
Pb 1.653 9.138 4.210
Pb -0.680 3.458 10.950
Pb -1.932 2.372 4.431
Ag -1.533 -0.210 10.764
Ag 2.505 12.806 4.396
Ag -0.992 5.896 5.388
Ag 1.965 6.701 9.773
Cu -2.355 2.466 1.555
Cu 0.778 -0.157 12.060
Cu 0.936 4.414 6.439
Cu 3.327 10.131 13.605
Cu -0.889 4.414 8.212
Cu 0.194 12.753 3.100
Cu 1.861 8.183 6.948
Cu 0.036 8.183 8.721
Bi 0.173 0.306 7.470
Bi 0.799 12.291 7.690
Bi 0.522 5.645 1.971
Bi 0.450 6.952 13.189
```

---

Entry 5:
The following is a PBEsol calculation of a relaxed structure of TeAsI3F6, from the Alexandria database.

Results
Its total moment is 0.000 μB/atom. The calculation puts the total energy at -3.751 eV/atom. As for the space group: P2_1/c.

Geometry as extended XYZ:
```
44
Lattice="8.166 0.000 -0.048 0.000 10.999 0.000 -2.481 0.000 11.905" Properties=species:S:1:pos:R:3 pbc="T T T"
F 1.450 4.009 0.599
F 5.475 9.509 5.305
F 6.505 6.296 4.274
F 5.264 10.203 10.227
F -1.906 8.414 11.675
F 0.210 1.491 6.552
F 2.452 2.195 2.003
F -1.065 2.389 8.491
F 3.234 8.804 9.854
F 6.495 9.308 0.284
F 0.175 3.111 2.538
F 6.751 8.611 3.366
F 7.591 2.585 0.183
F 0.431 3.808 5.621
F 4.235 6.990 11.258
F -0.819 4.704 7.583
F 5.511 7.888 9.319
F 5.255 7.191 6.237
F 1.211 3.305 7.956
F 6.351 2.915 6.135
F -0.666 8.084 5.722
F 4.474 7.695 3.902
F -0.809 1.691 11.573
F 0.421 0.796 1.630
I 2.241 6.795 6.977
I 5.403 1.130 3.125
I 1.523 6.630 2.780
I 0.282 9.869 8.732
I 3.444 4.204 4.880
I 0.517 6.121 10.670
I 3.482 9.704 1.024
I 1.758 10.378 4.717
I 3.928 0.621 7.140
I 5.168 4.878 1.187
I 4.163 4.370 9.077
I 2.204 1.296 10.833
Te 1.152 9.246 2.329
Te 4.533 1.753 9.528
Te 5.773 3.747 3.576
Te -0.088 7.252 8.282
As 0.965 2.410 1.111
As 5.960 7.910 4.793
As -0.275 3.090 7.064
As 4.720 8.589 10.746
```

---

Entry 6:
The following is a PBEsol calculation of a relaxed structure of Ba2TbWO6, from the Alexandria database.

Results
Its total moment is 0.000 μB/atom. The calculation puts the total energy at -8.349 eV/atom. As for the space group: Fm-3m.

Geometry as extended XYZ:
```
10
Lattice="5.937 0.000 0.000 2.969 5.142 0.000 2.969 1.714 4.848" Properties=species:S:1:pos:R:3 pbc="T T T"
O 4.549 2.626 3.558
O 7.326 2.626 3.558
O 5.937 5.031 3.558
O 4.549 4.229 1.290
O 5.937 1.825 1.290
O 7.326 4.229 1.290
Tb 0.000 0.000 0.000
Ba 8.906 5.142 3.636
Ba 2.969 1.714 1.212
W 5.937 3.428 2.424
```

---

Entry 7:
The following is a PBEsol calculation of a relaxed structure of Tl2CSe, from the Alexandria database.

Results
Its total moment is 0.530 μB/atom. The calculation puts the total energy at -3.309 eV/atom. As for the space group: Fm-3m.

Geometry as extended XYZ:
```
4
Lattice="5.004 0.000 0.000 2.502 4.334 0.000 2.502 1.445 4.086" Properties=species:S:1:pos:R:3 pbc="T T T"
Tl 2.502 1.445 1.022
Tl 7.507 4.334 3.065
Se 5.004 2.889 2.043
C 0.000 0.000 0.000
```

---

Entry 8:
The following is a PBEsol calculation of a relaxed structure of AlZnIrPb2, from the Alexandria database.

Results
Its total moment is 0.000 μB/atom. For the energy of formation, the calculation gives 828.4 meV/atom. The calculation puts the total energy at -3.870 eV/atom. As for the space group: P4/mmm.

Geometry as extended XYZ:
```
5
Lattice="-4.244 -0.892 -1.305 0.343 -4.823 2.182 -1.820 1.946 4.587" Properties=species:S:1:pos:R:3 pbc="T T T"
Al 0.000 0.000 0.000
Zn -2.861 -1.885 2.732
Ir -2.122 -0.446 -0.653
Pb -0.910 0.973 2.294
Pb 0.171 -2.412 1.091
```

---

Entry 9:
The following is a PBEsol calculation of a relaxed structure of AlH2S, from the Alexandria database.

Results
Its total moment is 0.000 μB/atom. The calculation puts the total energy at -3.687 eV/atom. As for the space group: I4_1/amd.

Geometry as extended XYZ:
```
8
Lattice="3.362 0.000 0.000 0.000 3.362 0.000 -1.681 -1.681 7.214" Properties=species:S:1:pos:R:3 pbc="T T T"
Al 1.681 0.000 3.607
Al 1.681 1.681 0.000
H 1.681 0.840 1.804
H 1.681 2.521 1.804
H 0.840 0.000 5.411
H -0.840 0.000 5.411
S 0.000 0.000 0.000
S 0.000 1.681 3.607
```

---

Entry 10:
The following is a PBEsol calculation of a relaxed structure of Y3Cu, from the Alexandria database.

Results
Its total moment is 0.001 μB/atom. For the energy of formation, the calculation gives 153.2 meV/atom. The calculation puts the total energy at -6.047 eV/atom. As for the space group: Pm-3m.

Geometry as extended XYZ:
```
4
Lattice="-3.535 -1.558 2.533 2.173 -4.040 0.547 2.031 1.610 3.824" Properties=species:S:1:pos:R:3 pbc="T T T"
Y -0.681 -2.799 1.540
Y -0.752 0.026 3.179
Y 2.102 -1.215 2.186
Cu 0.000 0.000 0.000
```

---

Entry 11:
The following is a PBEsol calculation of a relaxed structure of ZrTiCCl2, from the Alexandria database.

Results
Its total moment is 0.180 μB/atom. The calculation puts the total energy at -5.329 eV/atom. As for the space group: P4/mmm.

Geometry as extended XYZ:
```
5
Lattice="4.298 0.000 0.000 0.000 4.298 0.000 0.000 0.000 5.800" Properties=species:S:1:pos:R:3 pbc="T T T"
C 2.149 2.149 2.900
Cl 0.000 2.149 0.000
Cl 2.149 0.000 0.000
Ti 0.000 0.000 0.000
Zr 0.000 0.000 2.900
```

---

Entry 12:
The following is a PBEsol calculation of a relaxed structure of GaH2Pd, from the Alexandria database.

Results
Its total moment is 0.000 μB/atom. The calculation puts the total energy at -3.876 eV/atom. As for the space group: I-42d.

Geometry as extended XYZ:
```
8
Lattice="-1.094 -1.982 3.668 3.860 0.951 1.665 -2.979 4.271 -1.113" Properties=species:S:1:pos:R:3 pbc="T T T"
H -0.297 -0.388 3.701
H -0.352 2.597 2.564
H -2.041 3.037 -0.234
H 2.266 1.236 2.409
Ga -1.345 0.887 2.611
Ga 1.383 -0.515 2.667
Pd 0.000 0.000 0.000
Pd 1.132 2.354 1.609
```